# 1
! LaPd6Pb, relaxed, DFT PBE; values from VASP
! Relative energy among the computed polymorphs, kJ/mol of formula units: 0
! Fermi-level density of states, states/eV/f.u.: 1.55
! DFT formation energy, eV per atom: -0.53
&SYSTEM
  ibrav = 0, nat = 8, ntyp = 3
/
ATOMIC_SPECIES
Pd 106.42 Pd.upf
Pb 207.20 Pb.upf
La 138.91 La.upf
CELL_PARAMETERS angstrom
4.196 0.000 0.000
0.000 4.196 0.000
0.000 0.000 8.253
ATOMIC_POSITIONS crystal
Pd 0.000 0.500 0.258
Pd 0.000 0.500 0.742
Pd 0.500 0.500 0.500
Pd 0.500 0.000 0.742
Pb 0.000 0.000 0.500
Pd 0.500 0.500 0.000
Pd 0.500 0.000 0.258
La 0.000 0.000 0.000

# 2
! Ca3Ni5, relaxed, DFT PBE; values from VASP
! Fermi-level density of states, states/eV/f.u.: 5.82
! DFT formation energy, eV per atom: 0.16
&SYSTEM
  ibrav = 0, nat = 8, ntyp = 2
/
ATOMIC_SPECIES
Ni 58.69 Ni.upf
Ca 40.08 Ca.upf
CELL_PARAMETERS angstrom
3.285 -4.627 0.000
3.285 4.627 0.000
0.000 0.000 4.462
ATOMIC_POSITIONS crystal
Ni 0.803 0.803 0.500
Ca 0.251 0.749 0.500
Ca 0.500 0.500 0.000
Ca 0.749 0.251 0.500
Ni 0.000 0.500 0.000
Ni 0.500 0.000 0.000
Ni 0.000 0.000 0.000
Ni 0.197 0.197 0.500

Q: Which formula does entry 1 have?
A: LaPd6Pb

Q: The highest DFT formation energy belongs to which entry?
A: Ca3Ni5

Q: Which of these has the highest Fermi-level density of states?
A: Ca3Ni5